Record 1
# LiZnSCl2 | Alexandria via LeMat-Bulk | PBE | relaxed
# - offset from the most stable computed form (meV per atom) = 422
# - uncorrected formation energy (eV/atom) = -0.18
data_LiZnSCl2
_symmetry_space_group_name_H-M 'P 4/m m m'
_symmetry_Int_Tables_number 123
_symmetry_space_group_name_Hall '-P 4 2'
_cell_length_a 4.3304
_cell_length_b 4.3304
_cell_length_c 5.6423
_cell_angle_alpha 90.00
_cell_angle_beta 90.00
_cell_angle_gamma 90.00
loop_
_atom_site_label
_atom_site_type_symbol
_atom_site_fract_x
_atom_site_fract_y
_atom_site_fract_z
Li1 Li 0.0000 0.0000 0.0000
Zn1 Zn 0.5000 0.5000 0.5000
S1 S 0.0000 0.0000 0.5000
Cl1 Cl 0.0000 0.5000 0.0000

Record 2
# LiZnS2Cl | Alexandria via LeMat-Bulk | PBE | relaxed
# - offset from the most stable computed form (meV per atom) = 0
# - uncorrected formation energy (eV/atom) = -0.24
data_LiZnS2Cl
_symmetry_space_group_name_H-M 'P 4/m m m'
_symmetry_Int_Tables_number 123
_symmetry_space_group_name_Hall '-P 4 2'
_cell_length_a 4.5634
_cell_length_b 4.5634
_cell_length_c 5.5241
_cell_angle_alpha 90.00
_cell_angle_beta 90.00
_cell_angle_gamma 90.00
loop_
_atom_site_label
_atom_site_type_symbol
_atom_site_fract_x
_atom_site_fract_y
_atom_site_fract_z
Li1 Li 0.0000 0.0000 0.0000
Zn1 Zn 0.5000 0.5000 0.5000
S1 S 0.0000 0.5000 0.5000
Cl1 Cl 0.5000 0.5000 0.0000

Record 3
# LiZnS2Cl | Alexandria via LeMat-Bulk | PBE | relaxed
# - offset from the most stable computed form (meV per atom) = 437
# - uncorrected formation energy (eV/atom) = 0.20
data_LiZnS2Cl
_symmetry_space_group_name_H-M 'P 4/m m m'
_symmetry_Int_Tables_number 123
_symmetry_space_group_name_Hall '-P 4 2'
_cell_length_a 4.4447
_cell_length_b 4.4447
_cell_length_c 4.7798
_cell_angle_alpha 90.00
_cell_angle_beta 90.00
_cell_angle_gamma 90.00
loop_
_atom_site_label
_atom_site_type_symbol
_atom_site_fract_x
_atom_site_fract_y
_atom_site_fract_z
Li1 Li 0.0000 0.0000 0.0000
Zn1 Zn 0.5000 0.5000 0.5000
S1 S 0.0000 0.5000 0.0000
Cl1 Cl 0.0000 0.0000 0.5000

Record 4
# Li5Sb3Cl12 | Alexandria via LeMat-Bulk | PBE | relaxed
# - uncorrected formation energy (eV/atom) = -1.14
data_Li5Sb3Cl12
_symmetry_space_group_name_H-M 'I a -3 d'
_symmetry_Int_Tables_number 230
_symmetry_space_group_name_Hall '-I 4bd 2c 3'
_cell_length_a 15.6975
_cell_length_b 15.6975
_cell_length_c 15.6975
_cell_angle_alpha 90.00
_cell_angle_beta 90.00
_cell_angle_gamma 90.00
loop_
_atom_site_label
_atom_site_type_symbol
_atom_site_fract_x
_atom_site_fract_y
_atom_site_fract_z
Li1 Li 0.0000 0.0000 0.0000
Li2 Li 0.0000 0.2500 0.3750
Sb1 Sb 0.0000 0.2500 0.1250
Cl1 Cl 0.0162 0.0483 0.6562

Record 5
# Li2SbCl | Alexandria via LeMat-Bulk | PBE | relaxed
# - offset from the most stable computed form (meV per atom) = 318
# - uncorrected formation energy (eV/atom) = -0.74
data_Li2SbCl
_symmetry_space_group_name_H-M 'P 1 2/m 1'
_symmetry_Int_Tables_number 10
_symmetry_space_group_name_Hall '-P 2y'
_cell_length_a 4.2455
_cell_length_b 3.2659
_cell_length_c 6.5112
_cell_angle_alpha 90.00
_cell_angle_beta 90.66
_cell_angle_gamma 90.00
loop_
_atom_site_label
_atom_site_type_symbol
_atom_site_fract_x
_atom_site_fract_y
_atom_site_fract_z
Li1 Li 0.0000 0.0000 0.0000
Li2 Li 0.5000 0.5000 0.5000
Sb1 Sb 0.0000 0.0000 0.5000
Cl1 Cl 0.5000 0.5000 0.0000

Record 6
# LiSb2Cl6 | Alexandria via LeMat-Bulk | PBE | relaxed
# - uncorrected formation energy (eV/atom) = -0.88
data_LiSb2Cl6
_symmetry_space_group_name_H-M 'P 42/m n m'
_symmetry_Int_Tables_number 136
_symmetry_space_group_name_Hall '-P 4n 2n'
_cell_length_a 6.1603
_cell_length_b 6.1603
_cell_length_c 13.1845
_cell_angle_alpha 90.00
_cell_angle_beta 90.00
_cell_angle_gamma 90.00
loop_
_atom_site_label
_atom_site_type_symbol
_atom_site_fract_x
_atom_site_fract_y
_atom_site_fract_z
Li1 Li 0.0000 0.0000 0.0000
Sb1 Sb 0.0000 0.0000 0.3379
Cl1 Cl 0.1872 0.1872 0.5000
Cl2 Cl 0.1942 0.1942 0.1510

Record 7
# Li2SbCl | Alexandria via LeMat-Bulk | PBE | relaxed
# - offset from the most stable computed form (meV per atom) = 374
# - uncorrected formation energy (eV/atom) = -0.69
data_Li2SbCl
_symmetry_space_group_name_H-M 'I -4 m 2'
_symmetry_Int_Tables_number 119
_symmetry_space_group_name_Hall 'I -4 -2'
_cell_length_a 3.6443
_cell_length_b 3.6443
_cell_length_c 17.6884
_cell_angle_alpha 90.00
_cell_angle_beta 90.00
_cell_angle_gamma 90.00
loop_
_atom_site_label
_atom_site_type_symbol
_atom_site_fract_x
_atom_site_fract_y
_atom_site_fract_z
Li1 Li 0.0000 0.0000 0.0000
Li2 Li 0.0000 0.5000 0.2500
Sb1 Sb 0.0000 0.5000 0.7500
Cl1 Cl 0.0000 0.0000 0.5000

Record 8
# Li2SbCl6 | Alexandria via LeMat-Bulk | PBE | relaxed
# - offset from the most stable computed form (meV per atom) = 0
# - uncorrected formation energy (eV/atom) = -1.18
data_Li2SbCl6
_symmetry_space_group_name_H-M 'P 1 21/c 1'
_symmetry_Int_Tables_number 14
_symmetry_space_group_name_Hall '-P 2ybc'
_cell_length_a 6.5108
_cell_length_b 6.1835
_cell_length_c 12.7573
_cell_angle_alpha 90.00
_cell_angle_beta 120.66
_cell_angle_gamma 90.00
loop_
_atom_site_label
_atom_site_type_symbol
_atom_site_fract_x
_atom_site_fract_y
_atom_site_fract_z
Li1 Li 0.1755 0.0008 0.1755
Sb1 Sb 0.5000 0.0000 0.0000
Cl1 Cl 0.1630 0.2298 0.8354
Cl2 Cl 0.1759 0.7260 0.5004
Cl3 Cl 0.4913 0.2315 0.1638

Record 9
# Li2SbCl | Alexandria via LeMat-Bulk | PBE | relaxed
# - offset from the most stable computed form (meV per atom) = 356
# - uncorrected formation energy (eV/atom) = -0.70
data_Li2SbCl
_symmetry_space_group_name_H-M 'C m m m'
_symmetry_Int_Tables_number 65
_symmetry_space_group_name_Hall '-C 2 2'
_cell_length_a 7.3078
_cell_length_b 7.3292
_cell_length_c 3.0882
_cell_angle_alpha 90.00
_cell_angle_beta 90.00
_cell_angle_gamma 90.00
loop_
_atom_site_label
_atom_site_type_symbol
_atom_site_fract_x
_atom_site_fract_y
_atom_site_fract_z
Li1 Li 0.2500 0.2500 0.0000
Sb1 Sb 0.0000 0.0000 0.5000
Cl1 Cl 0.0000 0.5000 0.5000

Record 10
# Li4Sb2Cl9 | Alexandria via LeMat-Bulk | PBE | relaxed
# - uncorrected formation energy (eV/atom) = -1.26
data_Li4Sb2Cl9
_symmetry_space_group_name_H-M 'P -1'
_symmetry_Int_Tables_number 2
_symmetry_space_group_name_Hall '-P 1'
_cell_length_a 6.8742
_cell_length_b 6.9455
_cell_length_c 18.6676
_cell_angle_alpha 80.25
_cell_angle_beta 84.49
_cell_angle_gamma 61.48
loop_
_atom_site_label
_atom_site_type_symbol
_atom_site_fract_x
_atom_site_fract_y
_atom_site_fract_z
Li1 Li 0.0061 0.2059 0.4442
Li2 Li 0.1592 0.2218 0.1453
Li3 Li 0.1867 0.0195 0.9428
Li4 Li 0.2875 0.1476 0.6501
Sb1 Sb 0.3415 0.5709 0.3379
Sb2 Sb 0.4760 0.4378 0.8292
Cl1 Cl 0.0155 0.6668 0.2607
Cl2 Cl 0.0283 0.1105 0.5758
Cl3 Cl 0.1471 0.7483 0.7667
Cl4 Cl 0.1690 0.9574 0.0743
Cl5 Cl 0.1794 0.3838 0.9143
Cl6 Cl 0.3185 0.4576 0.5835
Cl7 Cl 0.3621 0.2025 0.3966
Cl8 Cl 0.4367 0.9092 0.2462
Cl9 Cl 0.4788 0.2907 0.0981

Record 11
# Li2SbCl | Alexandria via LeMat-Bulk | PBE | relaxed
# - offset from the most stable computed form (meV per atom) = 111
# - uncorrected formation energy (eV/atom) = -0.95
data_Li2SbCl
_symmetry_space_group_name_H-M 'P 4/m m m'
_symmetry_Int_Tables_number 123
_symmetry_space_group_name_Hall '-P 4 2'
_cell_length_a 3.2029
_cell_length_b 3.2029
_cell_length_c 7.6584
_cell_angle_alpha 90.00
_cell_angle_beta 90.00
_cell_angle_gamma 90.00
loop_
_atom_site_label
_atom_site_type_symbol
_atom_site_fract_x
_atom_site_fract_y
_atom_site_fract_z
Li1 Li 0.0000 0.0000 0.2045
Sb1 Sb 0.5000 0.5000 0.5000
Cl1 Cl 0.5000 0.5000 0.0000

Record 12
# Li2SbCl | Alexandria via LeMat-Bulk | PBE | relaxed
# - offset from the most stable computed form (meV per atom) = 5
# - uncorrected formation energy (eV/atom) = -1.06
data_Li2SbCl
_symmetry_space_group_name_H-M 'C 1 m 1'
_symmetry_Int_Tables_number 8
_symmetry_space_group_name_Hall 'C -2y'
_cell_length_a 5.9259
_cell_length_b 3.4201
_cell_length_c 7.6453
_cell_angle_alpha 90.00
_cell_angle_beta 90.10
_cell_angle_gamma 90.00
loop_
_atom_site_label
_atom_site_type_symbol
_atom_site_fract_x
_atom_site_fract_y
_atom_site_fract_z
Li1 Li 0.0000 0.0000 0.0000
Li2 Li 0.0012 0.0000 0.3975
Sb1 Sb 0.1674 0.5000 0.6987
Cl1 Cl 0.3341 0.0000 0.1987

Record 13
# Li4SbCl | Alexandria via LeMat-Bulk | PBE | relaxed
# - uncorrected formation energy (eV/atom) = -0.29
data_Li4SbCl
_symmetry_space_group_name_H-M 'F -4 3 m'
_symmetry_Int_Tables_number 216
_symmetry_space_group_name_Hall 'F -4 2 3'
_cell_length_a 7.7689
_cell_length_b 7.7689
_cell_length_c 7.7689
_cell_angle_alpha 90.00
_cell_angle_beta 90.00
_cell_angle_gamma 90.00
loop_
_atom_site_label
_atom_site_type_symbol
_atom_site_fract_x
_atom_site_fract_y
_atom_site_fract_z
Li1 Li 0.1205 0.1205 0.1205
Sb1 Sb 0.2500 0.2500 0.7500
Cl1 Cl 0.0000 0.0000 0.5000

Record 14
# LiSb3Cl | Alexandria via LeMat-Bulk | PBE | relaxed
# - offset from the most stable computed form (meV per atom) = 0
# - uncorrected formation energy (eV/atom) = 0.26
data_LiSb3Cl
_symmetry_space_group_name_H-M 'P m -3 m'
_symmetry_Int_Tables_number 221
_symmetry_space_group_name_Hall '-P 4 2 3'
_cell_length_a 5.0386
_cell_length_b 5.0386
_cell_length_c 5.0386
_cell_angle_alpha 90.00
_cell_angle_beta 90.00
_cell_angle_gamma 90.00
loop_
_atom_site_label
_atom_site_type_symbol
_atom_site_fract_x
_atom_site_fract_y
_atom_site_fract_z
Li1 Li 0.0000 0.0000 0.0000
Sb1 Sb 0.0000 0.0000 0.5000
Cl1 Cl 0.5000 0.5000 0.5000

Record 15
# Li2SbCl | Alexandria via LeMat-Bulk | PBE | relaxed
# - offset from the most stable computed form (meV per atom) = 372
# - uncorrected formation energy (eV/atom) = -0.69
data_Li2SbCl
_symmetry_space_group_name_H-M 'C 1 2/m 1'
_symmetry_Int_Tables_number 12
_symmetry_space_group_name_Hall '-C 2y'
_cell_length_a 6.2051
_cell_length_b 7.9331
_cell_length_c 3.3433
_cell_angle_alpha 90.00
_cell_angle_beta 91.45
_cell_angle_gamma 90.00
loop_
_atom_site_label
_atom_site_type_symbol
_atom_site_fract_x
_atom_site_fract_y
_atom_site_fract_z
Li1 Li 0.2500 0.2500 0.0000
Sb1 Sb 0.0000 0.0000 0.5000
Cl1 Cl 0.0000 0.5000 0.5000

Record 16
# Li2SbCl | Alexandria via LeMat-Bulk | PBE | relaxed
# - offset from the most stable computed form (meV per atom) = 909
# - uncorrected formation energy (eV/atom) = -0.15
data_Li2SbCl
_symmetry_space_group_name_H-M 'F -4 3 m'
_symmetry_Int_Tables_number 216
_symmetry_space_group_name_Hall 'F -4 2 3'
_cell_length_a 7.2134
_cell_length_b 7.2134
_cell_length_c 7.2134
_cell_angle_alpha 90.00
_cell_angle_beta 90.00
_cell_angle_gamma 90.00
loop_
_atom_site_label
_atom_site_type_symbol
_atom_site_fract_x
_atom_site_fract_y
_atom_site_fract_z
Li1 Li 0.0000 0.0000 0.0000
Li2 Li 0.2500 0.2500 0.2500
Sb1 Sb 0.2500 0.2500 0.7500
Cl1 Cl 0.0000 0.0000 0.5000

Record 17
# LiSb2Cl8 | Alexandria via LeMat-Bulk | PBE | relaxed
# - offset from the most stable computed form (meV per atom) = 0
# - uncorrected formation energy (eV/atom) = -0.88
data_LiSb2Cl8
_symmetry_space_group_name_H-M 'C 1 2/m 1'
_symmetry_Int_Tables_number 12
_symmetry_space_group_name_Hall '-C 2y'
_cell_length_a 12.9558
_cell_length_b 7.4722
_cell_length_c 8.0590
_cell_angle_alpha 90.00
_cell_angle_beta 93.18
_cell_angle_gamma 90.00
loop_
_atom_site_label
_atom_site_type_symbol
_atom_site_fract_x
_atom_site_fract_y
_atom_site_fract_z
Li1 Li 0.0000 0.0000 0.0000
Sb1 Sb 0.1279 0.0000 0.3569
Cl1 Cl 0.0832 0.0000 0.7174
Cl2 Cl 0.1288 0.2312 0.1480
Cl3 Cl 0.1872 0.5000 0.5762

Record 18
# LiSbCl4 | Alexandria via LeMat-Bulk | PBE | relaxed
# - offset from the most stable computed form (meV per atom) = 0
# - uncorrected formation energy (eV/atom) = -1.13
data_LiSbCl4
_symmetry_space_group_name_H-M 'C 1 2/m 1'
_symmetry_Int_Tables_number 12
_symmetry_space_group_name_Hall '-C 2y'
_cell_length_a 14.8776
_cell_length_b 7.2203
_cell_length_c 6.7329
_cell_angle_alpha 90.00
_cell_angle_beta 98.95
_cell_angle_gamma 90.00
loop_
_atom_site_label
_atom_site_type_symbol
_atom_site_fract_x
_atom_site_fract_y
_atom_site_fract_z
Li1 Li 0.2379 0.0000 0.4080
Sb1 Sb 0.0716 0.0000 0.7761
Cl1 Cl 0.0000 0.2539 0.0000
Cl2 Cl 0.1410 0.2410 0.5482
Cl3 Cl 0.2106 0.0000 0.0145

Record 19
# Li2SbCl | Alexandria via LeMat-Bulk | PBE | relaxed
# - offset from the most stable computed form (meV per atom) = 284
# - uncorrected formation energy (eV/atom) = -0.78
data_Li2SbCl
_symmetry_space_group_name_H-M 'I -4 2 d'
_symmetry_Int_Tables_number 122
_symmetry_space_group_name_Hall 'I -4 2bw'
_cell_length_a 6.6744
_cell_length_b 6.6744
_cell_length_c 8.4627
_cell_angle_alpha 90.00
_cell_angle_beta 90.00
_cell_angle_gamma 90.00
loop_
_atom_site_label
_atom_site_type_symbol
_atom_site_fract_x
_atom_site_fract_y
_atom_site_fract_z
Li1 Li 0.1788 0.2500 0.1250
Sb1 Sb 0.0000 0.0000 0.5000
Cl1 Cl 0.0000 0.0000 0.0000

Record 20
# Li2SbCl | Alexandria via LeMat-Bulk | PBE | relaxed
# - offset from the most stable computed form (meV per atom) = 666
# - uncorrected formation energy (eV/atom) = -0.39
data_Li2SbCl
_symmetry_space_group_name_H-M 'F m -3 m'
_symmetry_Int_Tables_number 225
_symmetry_space_group_name_Hall '-F 4 2 3'
_cell_length_a 7.1310
_cell_length_b 7.1310
_cell_length_c 7.1310
_cell_angle_alpha 90.00
_cell_angle_beta 90.00
_cell_angle_gamma 90.00
loop_
_atom_site_label
_atom_site_type_symbol
_atom_site_fract_x
_atom_site_fract_y
_atom_site_fract_z
Li1 Li 0.2500 0.2500 0.2500
Sb1 Sb 0.0000 0.0000 0.0000
Cl1 Cl 0.0000 0.0000 0.5000

Number 1: magnetization 0.8 μB per formula unit. Number 2: magnetization 0.5 μB per formula unit. Number 3: magnetization 0.0 μB per formula unit. Number 4: magnetization 0.0 μB per formula unit. Number 5: magnetization 0.0 μB per formula unit. Number 6: magnetization 1.0 μB per formula unit. Number 7: magnetization 0.0 μB per formula unit. Number 8: magnetization 0.5 μB per formula unit. Number 9: magnetization 0.0 μB per formula unit. Number 10: magnetization 1.0 μB per formula unit. Number 11: magnetization 0.0 μB per formula unit. Number 12: magnetization 0.0 μB per formula unit. Number 13: magnetization 0.1 μB per formula unit. Number 14: magnetization 0.0 μB per formula unit. Number 15: magnetization 0.0 μB per formula unit. Number 16: magnetization 0.8 μB per formula unit. Number 17: magnetization 0.0 μB per formula unit. Number 18: magnetization 0.0 μB per formula unit. Number 19: magnetization 0.0 μB per formula unit. Number 20: magnetization 2.0 μB per formula unit.